# CuPbNO2 | Alexandria | PBE-GGA | optimized geometry
# Raw total energy ... -24.7 eV per formula unit
# Crystal system ... tetragonal
# E_form (uncorrected) ... 6.28 kcal/mol of atoms
data_CuPbNO2
_chemical_formula_sum 'Cu1 Pb1 N1 O2'
_cell_length_a 3.890
_cell_length_b 3.890
_cell_length_c 3.875
_cell_angle_alpha 90.00
_cell_angle_beta 90.00
_cell_angle_gamma 90.00
_symmetry_space_group_name_H-M 'P 4/m m m'
_symmetry_Int_Tables_number 123
_symmetry_space_group_name_Hall '-P 4 2'
loop_
_atom_site_label
_atom_site_type_symbol
_atom_site_fract_x
_atom_site_fract_y
_atom_site_fract_z
_atom_site_occupancy
Cu1 Cu 0.000 0.000 0.000 1
Pb1 Pb 0.500 0.500 0.500 1
N1 N 0.000 0.000 0.500 1
O1 O 0.000 0.500 0.000 1